(1)
TbCe4In3: relaxed, PBE-GGA.

Cell: 22.1598 3.3709 5.7912 Å, 90.00 100.05 90.00°
Closest atoms and distances in Å follow each position.
Space group C2/m (No. 12)
Unique sites:
Tb (0.0000, 0.0000, 0.0000) [2 per cell]  8 In 3.31-3.35, 2 Tb 3.37, 2 Ce 3.50
Ce (0.1312, 0.0000, 0.4339) [4 per cell]  1 Ce 2.78
Ce (0.2382, 0.0000, 0.2446) [4 per cell]  1 Ce 2.78
In (0.0000, 0.5000, 0.5000) [2 per cell]  4 In 3.33-3.37, 4 Tb 3.35, 4 Ce 3.44
In (0.1232, 0.5000, 0.9226) [4 per cell]  2 Tb 3.31, 7 Ce 3.33-3.38, 3 In 3.33-3.37

Density of states at the Fermi level (states/eV/f.u.): 16.0
M_tot (μB/cell): 2.8
ΔE to the lowest computed polymorph (meV per atom): 0
ΔH_f (0 K) (eV/f.u.): -2.4



(2)
Pr6NiC2Cl3: relaxed, PBE-GGA.

Cell: 18.4062 3.8463 8.5856 Å, 90.00 108.34 90.00°
Closest atoms and distances in Å follow each position.
Space group C2/m (No. 12)
Unique sites:
Pr (0.0215, 0.0000, 0.2383) [4 per cell]  1 C 2.63, 2 Ni 2.74
Pr (0.1671, 0.5000, 0.1286) [4 per cell]  2 C 2.60
Pr (0.1797, 0.5000, 0.5509) [4 per cell]  3 C 2.60-2.64
Ni (0.0000, 0.5000, 0.0000) [2 per cell]  6 Pr 2.74-2.92
C (0.1719, 0.0000, 0.3350) [4 per cell]  6 Pr 2.60-2.64
Cl (0.0000, 0.5000, 0.5000) [2 per cell]  6 Pr 3.08-3.20
Cl (0.1642, 0.0000, 0.8236) [4 per cell]  6 Pr 3.00-3.29

Density of states at the Fermi level (states/eV/f.u.): 8.1
M_tot (μB/cell): 0.0
ΔE_f (raw) (eV per atom): -0.9233



(3)
Pu6NpRh5: relaxed, PBE-GGA.

Cell: 14.2089 4.9610 6.7602 Å, 90.00 94.56 90.00°
Closest atoms and distances in Å follow each position.
Space group C2/m (No. 12)
Unique sites:
Pu (0.0056, 0.0000, 0.2637) [4 per cell]  5 Rh 2.86-3.05, 2 Np 3.05
Pu (0.1566, 0.5000, 0.2356) [4 per cell]  1 Np 2.63, 1 Rh 2.74
Pu (0.1704, 0.5000, 0.7503) [4 per cell]  7 Rh 2.81-2.99, 1 Np 3.06
Np (0.0000, 0.5000, 0.0000) [2 per cell]  2 Pu 2.63
Rh (0.0000, 0.5000, 0.5000) [2 per cell]  8 Pu 2.84-2.96
Rh (0.1656, 0.0000, 0.9882) [4 per cell]  8 Pu 2.81-3.05
Rh (0.1839, 0.0000, 0.5086) [4 per cell]  5 Pu 2.74-2.99

Density of states at the Fermi level (states/eV/f.u.): 37.5
M_tot (μB/cell): 19.1
ΔH_f (0 K) (eV/f.u.): -3.4